[1]
Compound: PmHf2Pd
Source: Alexandria
Functional: PBE-GGA
Structure: optimized geometry

Cell lengths 3.3894, 3.3894, 7.8017 Å; angles 90.00, 90.00, 90.00 degrees
With the nearest neighbours (Å) after each atom.
Space group P4/mmm (No. 123)
One atom of each set of equivalent atoms:
Pm  0.0000  0.0000  0.0000 x1  8 Hf 3.33, 4 Pm 3.39
Hf  0.5000  0.5000  0.2964 x2  4 Pd 2.88, 1 Hf 3.18
Pd  0.0000  0.0000  0.5000 x1  8 Hf 2.88

formation energy from the elements: -188 meV/atom
D(E_F): 4.05 states/eV per cell
raw total energy: -7.650 eV per atom

[2]
Compound: AcTb2Ho4
Source: Alexandria
Functional: PBE-GGA
Structure: optimized geometry

Cell lengths 7.1487, 8.6868, 8.9008 Å; angles 114.63, 101.47, 101.85 degrees
With the nearest neighbours (Å) after each atom.
Space group P1 (No. 1)
One atom of each set of equivalent atoms:
Ac  0.0000  0.0000  0.0000 x1  9 Ho 3.44-3.81, 3 Tb 3.60-3.71
Ac  0.3070  0.6759  0.5616 x1  5 Tb 3.57-3.93, 8 Ho 3.63-3.88
Tb  0.2159  0.1415  0.7139 x1  9 Ho 3.34-3.72, 1 Ac 3.71
Tb  0.5280  0.8324  0.2780 x1  6 Ho 3.18-3.56
Tb  0.7997  0.6670  0.5382 x1  6 Ho 3.54-3.93, 2 Tb 3.56-3.65, 3 Ac 3.57-3.66
Tb  0.8837  0.4113  0.1401 x1  7 Ho 3.18-3.54, 1 Tb 3.56
Ho  0.0289  0.8340  0.2908 x1  3 Tb 3.18-3.56, 1 Ac 3.44, 2 Ho 3.55-3.56
Ho  0.1087  0.5602  0.8846 x1  3 Tb 3.53-3.62, 7 Ho 3.55-3.93, 2 Ac 3.81-3.84
Ho  0.3906  0.4124  0.1444 x1  4 Tb 3.18-3.54, 2 Ho 3.40-3.48
Ho  0.4180  0.2365  0.4221 x1  7 Ho 3.40-3.63, 3 Tb 3.51-3.74, 2 Ac 3.72-3.80
Ho  0.5088  0.0177  0.0162 x1  3 Tb 3.34-3.72, 4 Ho 3.48-3.69, 3 Ac 3.58-3.63
Ho  0.6116  0.5604  0.8809 x1  4 Tb 3.54-3.93, 7 Ho 3.55-3.92, 2 Ac 3.81-3.83
Ho  0.7078  0.1302  0.7092 x1  4 Tb 3.36-3.60, 5 Ho 3.51-3.69, 1 Ac 3.69
Ho  0.9112  0.2397  0.4239 x1  4 Tb 3.42-3.72, 6 Ho 3.52-3.63, 2 Ac 3.73-3.77

formation energy from the elements: 52 meV/atom
D(E_F): 21.43 states/eV per cell
raw total energy: -4.474 eV per atom
energy relative to the lowest polymorph listed for this composition: 0.00 kJ per mole of atoms

[3]
Compound: LiSnI2
Source: Alexandria
Functional: PBE-GGA
Structure: optimized geometry

Cell lengths 5.6291, 5.6291, 3.8997 Å; angles 90.00, 90.00, 90.00 degrees
With the nearest neighbours (Å) after each atom.
Space group P4/mmm (No. 123)
One atom of each set of equivalent atoms:
Li  0.0000  0.0000  0.0000 x1  8 I 3.42
Sn  0.5000  0.5000  0.0000 x1  8 I 3.42
I  0.0000  0.5000  0.5000 x2  4 Sn 3.42, 4 Li 3.42

D(E_F): 1.82 states/eV per cell
raw total energy: -2.638 eV per atom
energy relative to the elements, uncorrected: -1.5 eV per formula unit
energy relative to the lowest polymorph listed for this composition: 13.68 kJ per mole of atoms

> Which of these has the highest D(E_F)?

AcTb2Ho4

What did the third record say?
Compound: LiSnI2
Source: Alexandria
Functional: PBE-GGA
Structure: optimized geometry

Cell lengths 5.6291, 5.6291, 3.8997 Å; angles 90.00, 90.00, 90.00 degrees
With the nearest neighbours (Å) after each atom.
Space group P4/mmm (No. 123)
One atom of each set of equivalent atoms:
Li  0.0000  0.0000  0.0000 x1  8 I 3.42
Sn  0.5000  0.5000  0.0000 x1  8 I 3.42
I  0.0000  0.5000  0.5000 x2  4 Sn 3.42, 4 Li 3.42

D(E_F): 1.82 states/eV per cell
raw total energy: -2.638 eV per atom
energy relative to the elements, uncorrected: -1.5 eV per formula unit
energy relative to the lowest polymorph listed for this composition: 13.68 kJ per mole of atoms

> Which formula does entry 1 have?

PmHf2Pd